# La3Ga6Pd5 GGA-PBE relaxed
data_La3Ga6Pd5
_chemical_formula_sum 'La6 Ga12 Pd10'
_symmetry_space_group_name_H-M 'P m m n'
_symmetry_Int_Tables_number 59
_cell_length_a 4.401
_cell_length_b 13.173
_cell_length_c 9.524
_cell_angle_alpha 90.00
_cell_angle_beta 90.00
_cell_angle_gamma 90.00
loop_
_symmetry_equiv_pos_as_xyz
'x,y,z'
'-x,-y,-z'
'-x+1/2,-y+1/2,z'
'x+1/2,y+1/2,-z'
'x+1/2,-y,-z'
'-x+1/2,y,z'
'-x,y+1/2,-z'
'x,-y+1/2,z'
loop_
_atom_site_label
_atom_site_fract_x
_atom_site_fract_y
_atom_site_fract_z
La1 0.250 0.056 0.248
La2 0.250 0.750 0.256
Ga1 0.250 0.070 0.591
Ga2 0.250 0.250 0.034
Ga3 0.250 0.250 0.434
Ga4 0.250 0.599 0.983
Pd1 0.250 0.091 0.868
Pd2 0.250 0.637 0.534
Pd3 0.250 0.750 0.796
# M_tot = 0.0 μB/f.u.
# formation enthalpy at 0 K = -0.803 eV/atom
# DOS(E_F) = 15.4 states/eV per cell



# La3Ga2Pd7 GGA-PBE relaxed
data_La3Ga2Pd7
_chemical_formula_sum 'La6 Ga4 Pd14'
_symmetry_space_group_name_H-M 'I 4/m m m'
_symmetry_Int_Tables_number 139
_symmetry_space_group_name_Hall '-I 4 2'
_cell_length_a 4.172
_cell_length_b 4.172
_cell_length_c 28.319
_cell_angle_alpha 90.00
_cell_angle_beta 90.00
_cell_angle_gamma 90.00
loop_
_atom_site_label
_atom_site_fract_x
_atom_site_fract_y
_atom_site_fract_z
La1 0.000 0.000 0.000
La2 0.000 0.000 0.176
Ga1 0.000 0.000 0.373
Pd1 0.000 0.000 0.283
Pd2 0.000 0.000 0.500
Pd3 0.000 0.500 0.078
# M_tot = 0.0 μB/f.u.
# formation enthalpy at 0 K = -0.775 eV/atom
# DOS(E_F) = 9.7 states/eV per cell



# La5Ga2Pd GGA-PBE relaxed
data_La5Ga2Pd
_chemical_formula_sum 'La10 Ga4 Pd2'
_symmetry_space_group_name_H-M 'P b a m'
_symmetry_Int_Tables_number 55
_cell_length_a 7.660
_cell_length_b 12.719
_cell_length_c 4.904
_cell_angle_alpha 90.00
_cell_angle_beta 90.00
_cell_angle_gamma 90.00
loop_
_symmetry_equiv_pos_as_xyz
'x,y,z'
'-x,-y,-z'
'-x,-y,z'
'x,y,-z'
'x+1/2,-y+1/2,-z'
'-x+1/2,y+1/2,z'
'-x+1/2,y+1/2,-z'
'x+1/2,-y+1/2,z'
loop_
_atom_site_label
_atom_site_fract_x
_atom_site_fract_y
_atom_site_fract_z
La1 0.000 0.000 0.000
La2 0.144 0.287 0.000
La3 0.185 0.585 0.500
Ga1 0.082 0.837 0.500
Pd1 0.000 0.500 0.000
# M_tot = 0.0 μB/f.u.
# formation enthalpy at 0 K = -0.486 eV/atom
# DOS(E_F) = 18.4 states/eV per cell



# La3Ga5Pd6 GGA-PBE relaxed
data_La3Ga5Pd6
_chemical_formula_sum 'La6 Ga10 Pd12'
_symmetry_space_group_name_H-M 'P m m n'
_symmetry_Int_Tables_number 59
_cell_length_a 4.314
_cell_length_b 13.119
_cell_length_c 10.001
_cell_angle_alpha 90.00
_cell_angle_beta 90.00
_cell_angle_gamma 90.00
loop_
_symmetry_equiv_pos_as_xyz
'x,y,z'
'-x,-y,-z'
'-x+1/2,-y+1/2,z'
'x+1/2,y+1/2,-z'
'x+1/2,-y,-z'
'-x+1/2,y,z'
'-x,y+1/2,-z'
'x,-y+1/2,z'
loop_
_atom_site_label
_atom_site_fract_x
_atom_site_fract_y
_atom_site_fract_z
La1 0.250 0.084 0.249
La2 0.250 0.750 0.251
Ga1 0.250 0.081 0.642
Ga2 0.250 0.633 0.982
Ga3 0.250 0.750 0.630
Pd1 0.250 0.051 0.900
Pd2 0.250 0.250 0.001
Pd3 0.250 0.250 0.508
Pd4 0.250 0.582 0.496
# M_tot = 0.0 μB/f.u.
# formation enthalpy at 0 K = -0.801 eV/atom
# DOS(E_F) = 14.8 states/eV per cell



# La3Ga9Pd2 GGA-PBE relaxed
data_La3Ga9Pd2
_chemical_formula_sum 'La6 Ga18 Pd4'
_symmetry_space_group_name_H-M 'I m m m'
_symmetry_Int_Tables_number 71
_symmetry_space_group_name_Hall '-I 2 2'
_cell_length_a 4.433
_cell_length_b 9.675
_cell_length_c 13.072
_cell_angle_alpha 90.00
_cell_angle_beta 90.00
_cell_angle_gamma 90.00
loop_
_atom_site_label
_atom_site_fract_x
_atom_site_fract_y
_atom_site_fract_z
La1 0.000 0.000 0.000
La2 0.000 0.000 0.308
Ga1 0.000 0.278 0.137
Ga2 0.000 0.365 0.340
Ga3 0.000 0.500 0.000
Pd1 0.000 0.202 0.500
# M_tot = 0.0 μB/f.u.
# formation enthalpy at 0 K = -0.679 eV/atom
# DOS(E_F) = 7.9 states/eV per cell



# La4GaPd4 GGA-PBE relaxed
data_La4GaPd4
_chemical_formula_sum 'La8 Ga2 Pd8'
_symmetry_space_group_name_H-M 'P 42/n m c'
_symmetry_Int_Tables_number 137
_cell_length_a 8.487
_cell_length_b 8.487
_cell_length_c 6.742
_cell_angle_alpha 90.00
_cell_angle_beta 90.00
_cell_angle_gamma 90.00
loop_
_symmetry_equiv_pos_as_xyz
'x,y,z'
'-x,-y,-z'
'-y+1/2,x,z+1/2'
'y+1/2,-x,-z+1/2'
'-x+1/2,-y+1/2,z'
'x+1/2,y+1/2,-z'
'y,-x+1/2,z+1/2'
'-y,x+1/2,-z+1/2'
'x+1/2,-y,-z'
'-x+1/2,y,z'
'-y,-x,-z+1/2'
'y,x,z+1/2'
'-x,y+1/2,-z'
'x,-y+1/2,z'
'y+1/2,x+1/2,-z+1/2'
'-y+1/2,-x+1/2,z+1/2'
loop_
_atom_site_label
_atom_site_fract_x
_atom_site_fract_y
_atom_site_fract_z
La1 0.022 0.250 0.064
Ga1 0.250 0.750 0.250
Pd1 0.013 0.750 0.486
# M_tot = 0.0 μB/f.u.
# formation enthalpy at 0 K = -0.690 eV/atom
# DOS(E_F) = 11.8 states/eV per cell